The following is a DFT calculation (PBE) of KRb2HgBi2 after structural relaxation.

Cell: 9.889 9.889 9.889 Å, 127.83 73.31 132.37°
Positions (direct):
K 0.250 0.250 0.000
K 0.750 0.750 0.000
Rb 0.169 0.705 0.874
Rb 0.331 0.205 0.536
Rb 0.669 0.795 0.464
Rb 0.831 0.295 0.126
Hg 0.250 0.750 0.500
Hg 0.750 0.250 0.500
Bi 0.094 0.300 0.394
Bi 0.406 0.800 0.206
Bi 0.594 0.200 0.794
Bi 0.906 0.700 0.606

Formation energy from the elements, meV per atom: -250
Final energy, eV per cell: -25.2